Compound: Tb6SiTe3Se2
Source: Alexandria
Functional: GGA-PBE
Structure: optimized geometry

Output
SG: C2/m
V (Å³/f.u.): 326.50
Density (g/cm³): 7.74
VASP energy (eV/cell): -67.16

Geometry as extended XYZ:
```
12
Lattice="7.284 0.002 0.003 -3.639 6.310 0.003 -1.213 -2.101 7.101" Properties=species:S:1:pos:R:3 pbc="T T T"
Tb 3.603 2.183 5.564
Tb 2.476 4.287 1.557
Tb -1.171 2.028 1.542
Tb 0.090 4.212 5.564
Tb -0.044 -0.076 5.549
Tb 2.342 -0.001 1.542
Si 0.000 0.000 0.000
Te -2.389 4.188 3.553
Te 4.821 0.023 3.553
Te 1.216 2.105 3.553
Se 0.009 4.203 0.003
Se 3.636 2.108 0.003
```